Density functional theory data (PBE-GGA) for an optimized crystal structure of PrSn3Au6.

It has space group R3m (No. 160, hexagonal axes), with a = 10.5582 Å, b = 10.5582 Å, c = 7.7676 Å, α = 90.00°, β = 90.00° and γ = 120.00°. The asymmetric unit holds Pr at (0.0000, 0.0000, 0.0000), Sn at (0.1021, 0.2043, 0.3555), Au at (0.1721, 0.3442, 0.8320) and Au at (0.1781, 0.0890, 0.6620).

The total energy is -3.76 eV/atom. The calculation puts the energy of formation at -1.11 eV/f.u.



Density functional theory data (PBE-GGA) for an optimized crystal structure of PrSn3Au.

It has space group Pbcm (No. 57), with a = 12.976 Å, b = 6.346 Å, c = 6.362 Å, α = 90.00°, β = 90.00° and γ = 90.00°. The asymmetric unit holds Pr at (0.194, 0.005, 0.250), Sn at (0.001, 0.250, 0.000), Sn at (0.252, 0.513, 0.250), Sn at (0.434, 0.633, 0.750) and Au at (0.390, 0.250, 0.000).

The total energy is -4.45 eV/atom. The calculation puts the energy of formation at -2.19 eV/f.u.



Density functional theory data (PBE-GGA) for an optimized crystal structure of Pr3SnAu4.

It has space group Immm (No. 71), with a = 4.006 Å, b = 7.397 Å, c = 14.798 Å, α = 90.00°, β = 90.00° and γ = 90.00°. The asymmetric unit holds Pr at (0.000, 0.000, 0.000), Pr at (0.000, 0.500, 0.183), Sn at (0.000, 0.000, 0.500) and Au at (0.000, 0.306, 0.367).

The total energy is -4.58 eV/atom. The calculation puts the energy of formation at -5.19 eV/f.u.



Density functional theory data (PBE-GGA) for an optimized crystal structure of PrSn2Au.

It has space group P4/mmm (No. 123), with a = 4.701 Å, b = 4.701 Å, c = 4.544 Å, α = 90.00°, β = 90.00° and γ = 90.00°. The asymmetric unit holds Pr at (0.000, 0.000, 0.000), Sn at (0.000, 0.500, 0.500) and Au at (0.500, 0.500, 0.000).

The total energy is -4.58 eV/atom. The calculation puts the energy of formation at -2.26 eV/f.u.



Density functional theory data (PBE-GGA) for an optimized crystal structure of Pr4SnAu3.

It has space group Pmm2 (No. 25), with a = 4.122 Å, b = 4.752 Å, c = 11.504 Å, α = 90.00°, β = 90.00° and γ = 90.00°. The asymmetric unit holds Pr at (0.000, 0.000, 0.000), Pr at (0.000, 0.500, 0.268), Pr at (0.500, 0.000, 0.485), Pr at (0.500, 0.500, 0.777), Sn at (0.000, 0.000, 0.715), Au at (0.000, 0.500, 0.541), Au at (0.500, 0.000, 0.215) and Au at (0.500, 0.500, 0.051).

The total energy is -4.87 eV/atom. The calculation puts the energy of formation at -6.01 eV/f.u.



Density functional theory data (PBE-GGA) for an optimized crystal structure of PrSn2Au6.

It has space group Immm (No. 71), with a = 3.686 Å, b = 8.363 Å, c = 13.283 Å, α = 90.00°, β = 90.00° and γ = 90.00°. The asymmetric unit holds Pr at (0.000, 0.000, 0.000), Sn at (0.000, 0.500, 0.138), Au at (0.000, 0.174, 0.500) and Au at (0.000, 0.332, 0.320).

The total energy is -3.90 eV/atom. The calculation puts the energy of formation at -2.67 eV/f.u.



Density functional theory data (PBE-GGA) for an optimized crystal structure of Pr2Sn3Au5.

It has space group Ibam (No. 72), with a = 11.571 Å, b = 12.640 Å, c = 6.559 Å, α = 90.00°, β = 90.00° and γ = 90.00°. The asymmetric unit holds Pr at (0.230, 0.129, 0.000), Sn at (0.000, 0.500, 0.250), Sn at (0.124, 0.133, 0.500), Au at (0.000, 0.000, 0.250), Au at (0.000, 0.266, 0.250) and Au at (0.151, 0.387, 0.000).

The total energy is -4.34 eV/atom. The calculation puts the energy of formation at -5.42 eV/f.u.



Density functional theory data (PBE-GGA) for an optimized crystal structure of PrSnAu4.

It has space group Cmcm (No. 63), with a = 5.114 Å, b = 14.783 Å, c = 7.463 Å, α = 90.00°, β = 90.00° and γ = 90.00°. The asymmetric unit holds Pr at (0.000, 0.124, 0.250), Sn at (0.000, 0.361, 0.250), Au at (0.000, 0.077, 0.750), Au at (0.000, 0.278, 0.571) and Au at (0.000, 0.500, 0.000).

The total energy is -4.00 eV/atom. The calculation puts the energy of formation at -2.11 eV/f.u. As for the energy above the most stable polymorph in this dataset: 65 meV per atom.



Density functional theory data (PBE-GGA) for an optimized crystal structure of PrSn3Au2.

It has space group C2/m (No. 12), with a = 17.037 Å, b = 4.585 Å, c = 8.386 Å, α = 90.00°, β = 113.18° and γ = 90.00°. The asymmetric unit holds Pr at (0.123, 0.000, 0.136), Sn at (0.041, 0.000, 0.685), Sn at (0.154, 0.500, 0.450), Sn at (0.188, 0.500, 0.878), Au at (0.011, 0.500, 0.843) and Au at (0.210, 0.000, 0.665).

The total energy is -4.33 eV/atom. The calculation puts the energy of formation at -2.64 eV/f.u.



Density functional theory data (PBE-GGA) for an optimized crystal structure of PrSn2Au.

It has space group R-3m (No. 166, hexagonal axes), with a = 3.5455 Å, b = 3.5455 Å, c = 31.5713 Å, α = 90.00°, β = 90.00° and γ = 120.00°. The asymmetric unit holds Pr at (0.0000, 0.0000, 0.0000), Sn at (0.0000, 0.0000, 0.1024) and Au at (0.0000, 0.0000, 0.5000).

The total energy is -4.04 eV/atom. The calculation puts the energy of formation at -0.11 eV/f.u.



Density functional theory data (PBE-GGA) for an optimized crystal structure of SrPrSnAu.

It has space group F-43m (No. 216), with a = 7.781 Å, b = 7.781 Å, c = 7.781 Å, α = 90.00°, β = 90.00° and γ = 90.00°. The asymmetric unit holds Sr at (0.000, 0.000, 0.000), Pr at (0.000, 0.000, 0.500), Sn at (0.250, 0.250, 0.250) and Au at (0.250, 0.250, 0.750).

The total energy is -4.14 eV/atom. The calculation puts the energy of formation at -2.80 eV/f.u.



Density functional theory data (PBE-GGA) for an optimized crystal structure of PrThSnAu.

It has space group F-43m (No. 216), with a = 7.634 Å, b = 7.634 Å, c = 7.634 Å, α = 90.00°, β = 90.00° and γ = 90.00°. The asymmetric unit holds Pr at (0.000, 0.000, 0.000), Th at (0.000, 0.000, 0.500), Sn at (0.250, 0.250, 0.250) and Au at (0.250, 0.250, 0.750).

The total energy is -5.44 eV/atom. The calculation puts the energy of formation at -2.26 eV/f.u.